Entry 1:
The following is a DFT calculation (GGA-PBE) of a geometry-optimized CrAg structure.

```
CrAg
1.0
4.662 0.000 0.000
-2.331 4.037 0.000
0.000 0.000 5.444
Cr Ag
2 2
direct
0.333 0.667 0.250 Cr
0.667 0.333 0.750 Cr
0.333 0.667 0.750 Ag
0.667 0.333 0.250 Ag
```

Properties
Final energy in eV/cell: -19.920
DOS(E_F) in states/eV per atom: 0.84



Entry 2:
The following is a DFT calculation (GGA-PBE) of a geometry-optimized CrAg structure.

```
CrAg
1.0
8.815 0.000 0.000
-4.408 7.634 0.000
0.000 0.000 2.906
Cr Ag
6 6
direct
0.101 0.550 0.250 Cr
0.450 0.550 0.250 Cr
0.450 0.899 0.250 Cr
0.550 0.101 0.750 Cr
0.550 0.450 0.750 Cr
0.899 0.450 0.750 Cr
0.160 0.321 0.750 Ag
0.160 0.840 0.750 Ag
0.321 0.160 0.250 Ag
0.679 0.840 0.750 Ag
0.840 0.160 0.250 Ag
0.840 0.679 0.250 Ag
```

Properties
Final energy in eV/cell: -67.883
DOS(E_F) in states/eV per atom: 0.78



Entry 3:
The following is a DFT calculation (GGA-PBE) of a geometry-optimized CrAg2 structure.

```
CrAg2
1.0
1.521 -7.362 0.000
1.521 7.362 0.000
0.000 0.000 4.703
Cr Ag
2 4
direct
0.107 0.893 0.750 Cr
0.893 0.107 0.250 Cr
0.226 0.774 0.250 Ag
0.442 0.558 0.750 Ag
0.558 0.442 0.250 Ag
0.774 0.226 0.750 Ag
```

Properties
Final energy in eV/cell: -28.332
DOS(E_F) in states/eV per atom: 0.37



Entry 4:
The following is a DFT calculation (GGA-PBE) of a geometry-optimized CrAg2 structure.

```
CrAg2
1.0
4.663 0.000 0.000
-2.331 4.038 0.000
0.000 0.000 5.640
Cr Ag
2 4
direct
0.333 0.667 0.250 Cr
0.667 0.333 0.750 Cr
0.000 0.000 0.000 Ag
0.000 0.000 0.500 Ag
0.333 0.667 0.750 Ag
0.667 0.333 0.250 Ag
```

Properties
Final energy in eV/cell: -28.019
DOS(E_F) in states/eV per atom: 0.58



Entry 5:
The following is a DFT calculation (GGA-PBE) of a geometry-optimized CrAg structure.

```
CrAg
1.0
2.920 0.000 0.000
-1.460 2.529 0.000
0.000 0.000 9.279
Cr Ag
2 2
direct
0.000 0.000 0.000 Cr
0.000 0.000 0.500 Cr
0.333 0.667 0.250 Ag
0.667 0.333 0.750 Ag
```

Properties
Final energy in eV/cell: -22.228
DOS(E_F) in states/eV per atom: 0.77



Entry 6:
The following is a DFT calculation (GGA-PBE) of a geometry-optimized CrAg2 structure.

```
CrAg2
1.0
5.344 -1.479 0.000
5.344 1.479 0.000
-1.815 0.000 6.705
Cr Ag
2 4
direct
0.000 0.000 0.000 Cr
0.676 0.676 0.345 Cr
0.279 0.279 0.067 Ag
0.340 0.340 0.671 Ag
0.618 0.618 0.732 Ag
0.956 0.956 0.391 Ag
```

Properties
Final energy in eV/cell: -28.014
DOS(E_F) in states/eV per atom: 0.67



Entry 7:
The following is a DFT calculation (GGA-PBE) of a geometry-optimized CrAg structure.

```
CrAg
1.0
-3.935 3.935 3.935
3.935 -3.935 3.935
3.935 3.935 -3.935
Cr Ag
4 4
direct
0.000 0.000 0.803 Cr
0.000 0.803 0.000 Cr
0.197 0.197 0.197 Cr
0.803 0.000 0.000 Cr
0.000 0.000 0.419 Ag
0.000 0.419 0.000 Ag
0.419 0.000 0.000 Ag
0.581 0.581 0.581 Ag
```

Properties
Final energy in eV/cell: -37.786
DOS(E_F) in states/eV per atom: 0.97



Entry 8:
The following is a DFT calculation (GGA-PBE) of a geometry-optimized CrAg3 structure.

```
CrAg3
1.0
0.000 3.281 3.281
3.281 0.000 3.281
3.281 3.281 0.000
Cr Ag
1 3
direct
0.000 0.000 0.000 Cr
0.250 0.250 0.250 Ag
0.500 0.500 0.500 Ag
0.750 0.750 0.750 Ag
```

Properties
Final energy in eV/cell: -16.973
DOS(E_F) in states/eV per atom: 0.23



Entry 9:
The following is a DFT calculation (GGA-PBE) of a geometry-optimized CrAg structure.

```
CrAg
1.0
1.428 0.825 8.684
-1.428 0.825 8.684
0.000 -1.649 8.684
Cr Ag
2 2
direct
0.138 0.138 0.138 Cr
0.862 0.862 0.862 Cr
0.381 0.381 0.381 Ag
0.619 0.619 0.619 Ag
```

Properties
Final energy in eV/cell: -23.505
DOS(E_F) in states/eV per atom: 0.66



Entry 10:
The following is a DFT calculation (GGA-PBE) of a geometry-optimized Cr5Ag3 structure.

```
Cr5Ag3
1.0
2.225 -9.682 0.000
2.225 9.682 0.000
-2.216 0.000 6.100
Cr Ag
10 6
direct
0.000 0.000 0.000 Cr
0.046 0.860 0.259 Cr
0.227 0.461 0.024 Cr
0.300 0.688 0.338 Cr
0.461 0.227 0.024 Cr
0.527 0.527 0.996 Cr
0.597 0.784 0.736 Cr
0.688 0.300 0.338 Cr
0.784 0.597 0.736 Cr
0.860 0.046 0.259 Cr
0.032 0.615 0.996 Ag
0.110 0.110 0.616 Ag
0.328 0.950 0.630 Ag
0.492 0.492 0.378 Ag
0.615 0.032 0.996 Ag
0.950 0.328 0.630 Ag
```

Properties
Distance to the lowest polymorph of the same formula in meV/atom: 0
DOS(E_F) in states/eV per atom: 0.81



Entry 11:
The following is a DFT calculation (GGA-PBE) of a geometry-optimized Cr5Ag3 structure.

```
Cr5Ag3
1.0
7.999 0.000 0.000
-3.999 6.927 0.000
0.000 0.000 4.922
Cr Ag
10 6
direct
0.000 0.229 0.250 Cr
0.000 0.771 0.750 Cr
0.229 0.000 0.250 Cr
0.229 0.229 0.750 Cr
0.333 0.667 0.000 Cr
0.333 0.667 0.500 Cr
0.667 0.333 0.000 Cr
0.667 0.333 0.500 Cr
0.771 0.000 0.750 Cr
0.771 0.771 0.250 Cr
0.000 0.404 0.750 Ag
0.000 0.596 0.250 Ag
0.404 0.000 0.750 Ag
0.404 0.404 0.250 Ag
0.596 0.000 0.250 Ag
0.596 0.596 0.750 Ag
```

Properties
Distance to the lowest polymorph of the same formula in meV/atom: 303
DOS(E_F) in states/eV per atom: 1.62



Entry 12:
The following is a DFT calculation (GGA-PBE) of a geometry-optimized CrAg8 structure.

```
CrAg8
1.0
-4.407 4.407 2.056
4.407 -4.407 2.056
4.407 4.407 -2.056
Cr Ag
1 8
direct
0.000 0.000 0.000 Cr
0.000 0.332 0.332 Ag
0.000 0.668 0.668 Ag
0.332 0.000 0.332 Ag
0.335 0.335 0.669 Ag
0.335 0.665 0.000 Ag
0.665 0.335 0.000 Ag
0.665 0.665 0.331 Ag
0.668 0.000 0.668 Ag
```

Properties
Final energy in eV/cell: -31.292
DOS(E_F) in states/eV per atom: 0.23



Entry 13:
The following is a DFT calculation (GGA-PBE) of a geometry-optimized CrAg2 structure.

```
CrAg2
1.0
4.612 0.000 0.000
0.000 4.612 0.000
0.000 0.000 3.012
Cr Ag
1 2
direct
0.000 0.000 0.000 Cr
0.000 0.500 0.500 Ag
0.500 0.000 0.500 Ag
```

Properties
Final energy in eV/cell: -13.263
DOS(E_F) in states/eV per atom: 0.75



Entry 14:
The following is a DFT calculation (GGA-PBE) of a geometry-optimized CrAg structure.

```
CrAg
1.0
2.921 0.000 0.000
-1.461 2.530 0.000
0.000 0.000 4.646
Cr Ag
1 1
direct
0.000 0.000 0.000 Cr
0.667 0.333 0.500 Ag
```

Properties
Final energy in eV/cell: -11.107
DOS(E_F) in states/eV per atom: 0.59



Entry 15:
The following is a DFT calculation (GGA-PBE) of a geometry-optimized CrAg structure.

```
CrAg
1.0
-5.451 5.451 1.392
5.451 -5.451 1.392
5.451 5.451 -1.392
Cr Ag
4 4
direct
0.182 0.739 0.921 Cr
0.261 0.182 0.444 Cr
0.739 0.818 0.556 Cr
0.818 0.261 0.079 Cr
0.317 0.529 0.846 Ag
0.471 0.317 0.787 Ag
0.529 0.683 0.213 Ag
0.683 0.471 0.154 Ag
```

Properties
Final energy in eV/cell: -42.942
DOS(E_F) in states/eV per atom: 0.70



Entry 16:
The following is a DFT calculation (GGA-PBE) of a geometry-optimized CrAg structure.

```
CrAg
1.0
4.896 -1.532 0.000
4.896 1.532 0.000
-1.139 0.000 4.673
Cr Ag
2 2
direct
0.121 0.121 0.349 Cr
0.879 0.879 0.651 Cr
0.375 0.375 0.148 Ag
0.625 0.625 0.852 Ag
```

Properties
Final energy in eV/cell: -22.365
DOS(E_F) in states/eV per atom: 1.09



Entry 17:
The following is a DFT calculation (GGA-PBE) of a geometry-optimized CrAg5 structure.

```
CrAg5
1.0
4.738 0.000 0.000
0.000 1.509 7.439
0.000 -1.509 7.439
Cr Ag
1 5
direct
0.000 0.000 0.000 Cr
0.000 0.335 0.335 Ag
0.000 0.665 0.665 Ag
0.500 0.218 0.218 Ag
0.500 0.550 0.550 Ag
0.500 0.886 0.886 Ag
```

Properties
Final energy in eV/cell: -22.613
DOS(E_F) in states/eV per atom: 0.27



Entry 18:
The following is a DFT calculation (GGA-PBE) of a geometry-optimized CrAg3 structure.

```
CrAg3
1.0
5.252 0.000 0.000
0.000 5.252 0.000
0.000 0.000 5.252
Cr Ag
2 6
direct
0.000 0.000 0.000 Cr
0.500 0.500 0.500 Cr
0.000 0.250 0.500 Ag
0.000 0.750 0.500 Ag
0.250 0.500 0.000 Ag
0.500 0.000 0.250 Ag
0.500 0.000 0.750 Ag
0.750 0.500 0.000 Ag
```

Properties
Final energy in eV/cell: -33.420
DOS(E_F) in states/eV per atom: 0.58



Entry 19:
The following is a DFT calculation (GGA-PBE) of a geometry-optimized CrAg2 structure.

```
CrAg2
1.0
7.936 0.000 0.000
-3.968 6.873 0.000
0.000 0.000 2.913
Cr Ag
3 6
direct
0.000 0.000 0.000 Cr
0.333 0.667 0.500 Cr
0.667 0.333 0.500 Cr
0.000 0.306 0.500 Ag
0.000 0.640 0.000 Ag
0.306 0.000 0.500 Ag
0.360 0.360 0.000 Ag
0.640 0.000 0.000 Ag
0.694 0.694 0.500 Ag
```

Properties
Final energy in eV/cell: -42.052
DOS(E_F) in states/eV per atom: 0.62



Entry 20:
The following is a DFT calculation (GGA-PBE) of a geometry-optimized CrAg3 structure.

```
CrAg3
1.0
4.822 -1.512 0.000
4.822 1.512 0.000
-1.019 0.000 4.825
Cr Ag
1 3
direct
0.000 0.000 0.000 Cr
0.252 0.252 0.753 Ag
0.500 0.500 0.500 Ag
0.748 0.748 0.247 Ag
```

Properties
Final energy in eV/cell: -16.978
DOS(E_F) in states/eV per atom: 0.31



Entry 21:
The following is a DFT calculation (GGA-PBE) of a geometry-optimized CrAg3 structure.

```
CrAg3
1.0
2.940 -3.966 0.000
2.940 3.966 0.000
0.000 0.000 3.032
Cr Ag
1 3
direct
0.000 0.000 0.000 Cr
0.000 0.500 0.500 Ag
0.500 0.000 0.500 Ag
0.500 0.500 0.000 Ag
```

Properties
Final energy in eV/cell: -16.970
DOS(E_F) in states/eV per atom: 0.32



Entry 22:
The following is a DFT calculation (GGA-PBE) of a geometry-optimized CrAg3 structure.

```
CrAg3
1.0
2.967 0.000 0.000
0.000 2.967 0.000
0.000 0.000 7.987
Cr Ag
1 3
direct
0.000 0.000 0.000 Cr
0.000 0.000 0.500 Ag
0.500 0.500 0.242 Ag
0.500 0.500 0.758 Ag
```

Properties
Final energy in eV/cell: -16.909
DOS(E_F) in states/eV per atom: 0.65



Entry 23:
The following is a DFT calculation (GGA-PBE) of a geometry-optimized CrAg structure.

```
CrAg
1.0
2.338 -4.783 0.000
2.338 4.783 0.000
0.000 0.000 2.845
Cr Ag
2 2
direct
0.078 0.922 0.750 Cr
0.922 0.078 0.250 Cr
0.360 0.640 0.750 Ag
0.640 0.360 0.250 Ag
```

Properties
Final energy in eV/cell: -22.479
DOS(E_F) in states/eV per atom: 0.75



Entry 24:
The following is a DFT calculation (GGA-PBE) of a geometry-optimized CrAg3 structure.

```
CrAg3
1.0
5.171 0.000 0.000
0.000 5.171 0.000
0.000 0.000 5.171
Cr Ag
1 3
direct
0.000 0.000 0.000 Cr
0.000 0.000 0.500 Ag
0.000 0.500 0.000 Ag
0.500 0.000 0.000 Ag
```

Properties
Final energy in eV/cell: -12.872
DOS(E_F) in states/eV per atom: 0.73



Entry 25:
The following is a DFT calculation (GGA-PBE) of a geometry-optimized CrAg structure.

```
CrAg
1.0
4.811 0.000 0.000
0.000 5.820 0.000
0.000 0.000 9.381
Cr Ag
8 8
direct
0.169 0.019 0.115 Cr
0.170 0.245 0.881 Cr
0.330 0.755 0.381 Cr
0.331 0.981 0.615 Cr
0.669 0.481 0.885 Cr
0.670 0.255 0.119 Cr
0.830 0.745 0.619 Cr
0.831 0.519 0.385 Cr
0.166 0.511 0.126 Ag
0.168 0.744 0.866 Ag
0.332 0.256 0.366 Ag
0.334 0.489 0.626 Ag
0.666 0.989 0.874 Ag
0.668 0.756 0.134 Ag
0.832 0.244 0.634 Ag
0.834 0.011 0.374 Ag
```

Properties
Final energy in eV/cell: -93.332
DOS(E_F) in states/eV per atom: 0.43